# 1
## La7YHo12 (PBE)

Data for crystalline La7YHo12 at its relaxed geometry.

Calculated values
- DFT total energy: -0.3066 Ry/atom
- Energy of formation from the pure elements: 0.623 eV per atom

abc: 9.8170 9.8170 9.8170
angles: 109.47 109.47 109.47
Atoms (fractional coordinates):
La1 0.0000 0.0000 0.5000
La2 0.0000 0.5000 0.0000
La3 0.0000 0.5000 0.5000
La4 0.5000 0.0000 0.0000
La5 0.5000 0.0000 0.5000
La6 0.5000 0.5000 0.0000
La7 0.5000 0.5000 0.5000
Y1 0.0000 0.0000 0.0000
Ho1 0.0000 0.2472 0.7528
Ho2 0.0000 0.7528 0.2472
Ho3 0.2472 0.0000 0.7528
Ho4 0.2472 0.2472 0.4943
Ho5 0.2472 0.4943 0.2472
Ho6 0.2472 0.7528 0.0000
Ho7 0.4943 0.2472 0.2472
Ho8 0.5057 0.7528 0.7528
Ho9 0.7528 0.0000 0.2472
Ho10 0.7528 0.2472 0.0000
Ho11 0.7528 0.5057 0.7528
Ho12 0.7528 0.7528 0.5057

# 2
## TmH8IrPd2 (PBE)

Data for crystalline TmH8IrPd2 at its relaxed geometry.

Calculated values
- DFT total energy: -0.3251 Ry/atom

abc: 4.5165 4.5240 5.7521
angles: 93.04 91.15 106.18
Atoms (fractional coordinates):
Tm1 0.0000 0.0000 0.0000
H1 0.2055 0.8543 0.6868
H2 0.2142 0.8459 0.3137
H3 0.2740 0.3484 0.4944
H4 0.2879 0.5362 0.9543
H5 0.7121 0.4638 0.0457
H6 0.7260 0.6516 0.5056
H7 0.7858 0.1541 0.6863
H8 0.7945 0.1457 0.3132
Ir1 0.0000 0.0000 0.5000
Pd1 0.4612 0.6085 0.2278
Pd2 0.5388 0.3915 0.7722

The records above yield total magnetic moment values of 0.00, 0.00 μB/f.u., respectively.